## Li3FeP8O24 (PBE+U)

Data for an optimized crystal structure of Li3FeP8O24.

Results
Total magnetization: 7.23 μB/f.u.
Final energy: -6.82 eV/atom

Cell lengths 9.878, 9.878, 10.126 Å; angles 42.80, 42.80, 50.16 degrees
Each line ends with the local moment (μB).
Positions (direct):
P 0.308 0.286 0.956  0.00
O 0.189 0.713 0.929  0.08
O 0.906 0.157 0.087  0.18
O 0.817 0.652 0.130  0.11
Li 0.006 0.516 0.238  0.00
O 0.498 0.207 0.974  0.03
P 0.714 0.692 0.044  0.00
Li 0.057 0.943 0.000  0.00
O 0.279 0.130 0.669  0.17
P 0.262 0.739 0.721  0.01
P 0.725 0.248 0.796  0.00
O 0.675 0.467 0.746  0.02
O 0.348 0.183 0.870  0.11
P 0.679 0.704 0.551  -0.01
O 0.643 0.808 0.634  0.21
P 0.261 0.738 0.279  0.01
O 0.145 0.902 0.600  0.10
O 0.736 0.186 0.417  0.12
O 0.533 0.325 0.254  0.02
O 0.192 0.357 0.366  0.21
O 0.217 0.510 0.469  0.05
P 0.296 0.321 0.449  -0.01
O 0.843 0.094 0.913  0.18
O 0.490 0.783 0.531  0.05
O 0.736 0.879 0.816  0.09
O 0.793 0.502 0.026  0.03
O 0.870 0.721 0.331  0.17
O 0.301 0.525 0.766  0.02
O 0.287 0.811 0.071  0.08
O 0.814 0.264 0.583  0.12
O 0.121 0.264 0.184  0.09
Fe 0.950 0.050 0.500  4.43
Li 0.484 0.994 0.762  0.00
O 0.475 0.699 0.234  0.02
O 0.098 0.855 0.400  0.10
P 0.752 0.275 0.204  0.00